Model P:
TaNi7 | GGA-PBE | optimized geometry

```
data_TaNi7
_cell_length_a 5.114
_cell_length_b 5.114
_cell_length_c 4.117
_cell_angle_alpha 90.00
_cell_angle_beta 90.00
_cell_angle_gamma 120.00
_symmetry_space_group_name_H-M 'P 1'
_symmetry_Int_Tables_number 1
_symmetry_space_group_name_Hall 'P 1'
loop_
_atom_site_label
_atom_site_fract_x
_atom_site_fract_y
_atom_site_fract_z
Ta1 0.000 0.000 0.000
Ni1 0.004 0.502 0.000
Ni2 0.333 0.667 0.500
Ni3 0.345 0.172 0.500
Ni4 0.498 0.502 0.000
Ni5 0.498 0.996 0.000
Ni6 0.828 0.172 0.500
Ni7 0.828 0.655 0.500
```


Model Q:
TaNi7 | GGA-PBE | optimized geometry

```
data_TaNi7
_cell_length_a 5.096
_cell_length_b 5.096
_cell_length_c 5.096
_cell_angle_alpha 60.00
_cell_angle_beta 60.00
_cell_angle_gamma 60.00
_symmetry_space_group_name_H-M 'P 1'
_symmetry_Int_Tables_number 1
_symmetry_space_group_name_Hall 'P 1'
loop_
_atom_site_label
_atom_site_fract_x
_atom_site_fract_y
_atom_site_fract_z
Ta1 0.000 0.000 0.000
Ni1 0.000 0.000 0.500
Ni2 0.000 0.500 0.000
Ni3 0.000 0.500 0.500
Ni4 0.500 0.000 0.000
Ni5 0.500 0.000 0.500
Ni6 0.500 0.500 0.000
Ni7 0.500 0.500 0.500
```


Of them, model Q has the lowest stability.


Model P:
Ta2Ni3 | GGA-PBE | optimized geometry

```
data_Ta2Ni3
_cell_length_a 10.839
_cell_length_b 10.839
_cell_length_c 10.839
_cell_angle_alpha 14.65
_cell_angle_beta 14.65
_cell_angle_gamma 14.65
_symmetry_space_group_name_H-M 'P 1'
_symmetry_Int_Tables_number 1
_symmetry_space_group_name_Hall 'P 1'
loop_
_atom_site_label
_atom_site_fract_x
_atom_site_fract_y
_atom_site_fract_z
Ta1 0.098 0.098 0.098
Ta2 0.902 0.902 0.902
Ni1 0.302 0.302 0.302
Ni2 0.500 0.500 0.500
Ni3 0.698 0.698 0.698
```


Model Q:
Ta2Ni3 | GGA-PBE | optimized geometry

```
data_Ta2Ni3
_cell_length_a 6.821
_cell_length_b 4.938
_cell_length_c 7.593
_cell_angle_alpha 61.74
_cell_angle_beta 39.62
_cell_angle_gamma 78.65
_symmetry_space_group_name_H-M 'P 1'
_symmetry_Int_Tables_number 1
_symmetry_space_group_name_Hall 'P 1'
loop_
_atom_site_label
_atom_site_fract_x
_atom_site_fract_y
_atom_site_fract_z
Ta1 0.125 0.875 0.268
Ta2 0.518 0.982 0.375
Ta3 0.875 0.125 0.732
Ta4 0.982 0.518 0.125
Ni1 0.136 0.136 0.864
Ni2 0.386 0.386 0.114
Ni3 0.447 0.552 0.325
Ni4 0.552 0.447 0.676
Ni5 0.574 0.925 0.698
Ni6 0.925 0.574 0.803
```


Of them, model P has the lowest stability.